1.
First-principles (GGA-PBE) data for a relaxed structure of Pm4N2Cl3, as listed in Alexandria.

Output
Crystal system: monoclinic
ΔE_f (raw) in meV/atom: -1741
Energy relative to the lowest polymorph listed for this composition in kJ per mole of atoms: 0.0

Geometry as extended XYZ:
```
9
Lattice="3.706 0.000 0.004 -1.853 3.209 -0.004 -0.003 0.002 17.041" Properties=species:S:1:pos:R:3 pbc="T T T"
Pm -0.001 2.140 14.886
Pm 3.701 0.003 4.813
Pm -1.851 3.208 12.228
Pm 1.851 1.071 2.155
N 1.853 1.070 13.600
N -0.004 2.141 3.441
Cl 1.846 1.074 6.649
Cl 0.000 0.000 0.000
Cl 0.004 2.137 10.393
```

***

2.
First-principles (GGA-PBE) data for a relaxed structure of Pm6N3Cl2, as listed in Alexandria.

Output
Crystal system: monoclinic
ΔE_f (raw) in meV/atom: -1385

Geometry as extended XYZ:
```
11
Lattice="6.118 0.000 1.822 3.059 5.528 0.911 0.138 0.000 6.988" Properties=species:S:1:pos:R:3 pbc="T T T"
Pm 4.612 3.720 6.946
Pm 4.559 0.000 6.915
Pm 1.553 1.808 6.035
Pm 1.697 0.000 1.895
Pm 4.703 1.808 2.775
Pm 7.762 3.720 3.686
N 0.000 0.000 0.000
N 3.059 1.862 0.911
N 6.118 3.666 1.822
Cl 3.128 3.683 4.405
Cl 6.187 1.845 5.316
```

***

3.
First-principles (GGA-PBE) data for a relaxed structure of Pm4N2Cl3, as listed in Alexandria.

Output
Crystal system: monoclinic
ΔE_f (raw) in meV/atom: -1602
Energy relative to the lowest polymorph listed for this composition in kJ per mole of atoms: 13.4

Geometry as extended XYZ:
```
9
Lattice="3.497 0.000 0.000 -1.749 7.074 -0.365 0.000 -1.275 8.225" Properties=species:S:1:pos:R:3 pbc="T T T"
Pm 1.749 2.410 0.723
Pm 0.000 0.420 5.773
Pm 1.749 5.379 2.088
Pm 0.000 3.389 7.137
N 0.000 3.987 1.336
N 1.749 1.812 6.525
Cl 0.000 5.060 4.629
Cl 0.000 0.000 0.000
Cl 1.749 0.739 3.231
```

***

4.
First-principles (GGA-PBE) data for a relaxed structure of Pm7NCl12, as listed in Alexandria.

Output
Crystal system: trigonal
ΔE_f (raw) in meV/atom: -2004

Geometry as extended XYZ:
```
20
Lattice="-8.435 1.335 2.023 0.623 -7.976 -3.608 4.532 -0.136 7.515" Properties=species:S:1:pos:R:3 pbc="T T T"
Pm -3.703 -4.327 6.187
Pm -2.415 -0.440 0.470
Pm 0.526 -0.140 2.439
Pm -1.640 -3.389 2.965
Pm -3.807 -6.637 3.490
Pm -0.866 -6.337 5.460
Pm 0.422 -2.450 -0.257
N 0.000 0.000 0.000
Cl -4.065 -1.376 6.565
Cl -5.297 -0.881 1.167
Cl -2.121 -0.660 3.277
Cl -4.341 -3.857 3.477
Cl 1.269 -0.417 5.330
Cl -1.035 -3.527 5.683
Cl -2.246 -3.250 0.247
Cl -4.550 -6.360 0.600
Cl 1.060 -2.920 2.453
Cl -1.160 -6.117 2.653
Cl 2.016 -5.896 4.763
Cl 0.785 -5.401 -0.635
```

***

Values for M_tot, μB/f.u., ordered as above
0.00, 0.00, 0.00, 0.00